1.
# Hg2AsPd8

A relaxed Hg2AsPd8 crystal (PBE-GGA, the Alexandria database).

The formation energy from the elements is -2.063 eV per formula unit. The value obtained for the calculated density is 11.8 g/cm³.

abc: 7.8020 7.8020 5.8564
angles: 111.98 111.98 34.56
Fractional positions:
Hg 0.1831 0.1831 0.1829
Hg 0.8169 0.8169 0.8171
As 0.5000 0.5000 0.5000
Pd 0.9999 0.9999 0.2543
Pd 0.0001 0.0001 0.7457
Pd 0.1822 0.1822 0.6819
Pd 0.3635 0.3635 0.1076
Pd 0.3637 0.3637 0.6204
Pd 0.6363 0.6363 0.3796
Pd 0.6365 0.6365 0.8924
Pd 0.8178 0.8178 0.3181



2.
# Al2HgSe2

A relaxed Al2HgSe2 crystal (PBE-GGA, the Alexandria database).

The calculation puts the uncorrected formation energy at -11 meV/atom. Its energy above the most stable polymorph in this dataset is 0.200 eV/atom. The value obtained for the calculated density is 6.4 g/cm³.

abc: 7.8467 7.8467 3.4524
angles: 90.00 90.00 90.00
Fractional positions:
Al 0.1476 0.3524 0.0000
Al 0.3524 0.8524 0.0000
Al 0.6476 0.1476 0.0000
Al 0.8524 0.6476 0.0000
Hg 0.0000 0.0000 0.5000
Hg 0.5000 0.5000 0.5000
Se 0.1493 0.6493 0.5000
Se 0.3507 0.1493 0.5000
Se 0.6493 0.8507 0.5000
Se 0.8507 0.3507 0.5000



3.
# NaPr2PaSe4

A relaxed NaPr2PaSe4 crystal (PBE-GGA, the Alexandria database).

The calculation puts the uncorrected formation energy at -1571 meV/atom. The value obtained for the calculated density is 6.8 g/cm³.

abc: 7.2456 4.1549 7.3397
angles: 90.00 108.81 90.00
Fractional positions:
Na 0.0000 0.0000 0.0000
Pr 0.5000 0.0000 0.5000
Pr 0.5000 0.5000 0.0000
Pa 0.0000 0.5000 0.5000
Se 0.2361 0.0000 0.7459
Se 0.2388 0.5000 0.2505
Se 0.7612 0.5000 0.7495
Se 0.7639 0.0000 0.2541



4.
# CdCoSn2Bi

A relaxed CdCoSn2Bi crystal (PBE-GGA, the Alexandria database).

The formation energy from the elements is 0.762 eV per formula unit. The value obtained for the calculated density is 8.2 g/cm³.

abc: 4.9050 4.9050 5.2149
angles: 90.00 90.00 90.00
Fractional positions:
Cd 0.0000 0.0000 0.0000
Co 0.0000 0.0000 0.5000
Sn 0.0000 0.5000 0.5000
Sn 0.5000 0.0000 0.5000
Bi 0.5000 0.5000 0.0000



| no. | electronic total energy (eV per formula unit) |
| --- | --- |
| 1 | -48.86 |
| 2 | -14.81 |
| 3 | -46.88 |
| 4 | -19.15 |